A plane-wave DFT calculation with GGA-PBE was carried out for a relaxed structure of TbHo4CuS8.

```
TbHo4CuS8
1.0
7.890 0.000 0.000
3.945 6.833 0.000
3.945 2.278 6.467
S Ho Tb Cu
8 4 1 1
Direct
0.759 0.759 0.723
0.249 0.755 0.746
0.248 0.248 0.256
0.757 0.757 0.261
0.249 0.249 0.746
0.757 0.224 0.261
0.224 0.757 0.261
0.755 0.249 0.746
0.005 0.005 0.505
0.005 0.486 0.505
0.486 0.005 0.505
0.625 0.625 0.124
0.005 0.005 0.986
0.375 0.375 0.876
```

- total energy (eV per atom) = -6.10
- spin magnetization (μB/cell) = 0.027
- raw formation energy (eV per formula unit) = -25.40

A plane-wave DFT calculation with GGA-PBE was carried out for a relaxed structure of La3TlC.

```
La3TlC
1.0
-3.672 3.217 1.914
-3.550 -2.141 -3.212
-1.189 -3.545 3.677
La Tl C
3 1 1
Direct
0.500 0.000 0.000
0.000 0.500 0.000
0.000 0.000 0.500
0.500 0.500 0.500
0.000 0.000 0.000
```

- total energy (eV per atom) = -5.57
- E above lowest polymorph (meV/atom) = 0
- spin magnetization (μB/cell) = 0.000
- DFT formation energy (kJ/mol of formula units) = -142

A plane-wave DFT calculation with GGA-PBE was carried out for a relaxed structure of Rb3Y3TcO8.

```
Rb3Y3TcO8
1.0
-0.922 0.116 6.762
1.748 -5.821 -3.107
5.518 5.308 0.661
Tc O Rb Y
1 8 3 3
Direct
0.000 0.000 0.500
0.749 0.957 0.664
0.792 0.584 0.335
0.208 0.957 0.664
0.208 0.416 0.665
0.276 0.552 0.328
0.251 0.043 0.336
0.724 0.448 0.672
0.792 0.043 0.336
0.000 0.000 0.000
0.000 0.500 0.000
0.500 0.500 0.000
0.000 0.500 0.500
0.500 0.000 0.500
0.500 0.500 0.500
```

- total energy (eV per atom) = -7.25
- spin magnetization (μB/cell) = 3.000
- raw formation energy (eV per formula unit) = -36.40

A plane-wave DFT calculation with GGA-PBE was carried out for a relaxed structure of HgPt2W.

```
HgPt2W
1.0
7.356 0.000 0.000
0.000 7.356 0.000
3.678 3.678 2.816
Pt W Hg
4 2 2
Direct
0.158 0.625 0.250
0.592 0.125 0.250
0.375 0.408 0.750
0.875 0.842 0.750
0.500 0.500 0.000
0.250 0.750 0.500
0.000 0.000 0.000
0.750 0.250 0.500
```

- total energy (eV per atom) = -5.83
- spin magnetization (μB/cell) = 0.000
- DFT formation energy (kJ/mol of formula units) = 195

A plane-wave DFT calculation with GGA-PBE was carried out for a relaxed structure of SrPuMgIn.

```
SrPuMgIn
1.0
-1.543 0.442 -5.348
0.127 -4.486 -3.322
-4.771 -2.328 -1.731
In Mg Pu Sr
1 1 1 1
Direct
0.000 0.000 0.000
0.500 0.500 0.500
0.750 0.750 0.750
0.250 0.250 0.250
```

- total energy (eV per atom) = -5.11
- spin magnetization (μB/cell) = 5.693
- DFT formation energy (kJ/mol of formula units) = -7

A plane-wave DFT calculation with GGA-PBE was carried out for a relaxed structure of Ca3BiCl.

```
Ca3BiCl
1.0
-6.016 0.659 0.669
0.019 -4.251 4.359
0.938 4.309 4.198
Bi Ca Cl
1 3 1
Direct
0.000 0.000 0.000
0.000 0.500 0.000
0.000 0.000 0.500
0.500 0.000 0.000
0.500 0.500 0.500
```

- total energy (eV per atom) = -2.81
- E above lowest polymorph (meV/atom) = 280
- spin magnetization (μB/cell) = 0.000
- raw formation energy (eV per formula unit) = -2.33

A plane-wave DFT calculation with GGA-PBE was carried out for a relaxed structure of BeNi5.

```
BeNi5
1.0
4.246 0.000 0.000
-2.123 3.677 0.000
0.000 0.000 3.988
Ni Be
5 1
Direct
0.667 0.667 0.500
0.000 0.333 0.500
0.662 0.329 0.000
0.333 0.671 0.000
0.004 0.000 0.000
0.333 0.000 0.500
```

- total energy (eV per atom) = -5.52
- E above lowest polymorph (meV/atom) = 59
- spin magnetization (μB/cell) = 1.953
- DFT formation energy (kJ/mol of formula units) = -48

A plane-wave DFT calculation with GGA-PBE was carried out for a relaxed structure of Nd3NiAg.

```
Nd3NiAg
1.0
-2.753 -2.735 4.848
1.158 -6.072 0.589
5.592 -1.641 6.421
Nd Ni Ag
6 2 2
Direct
0.294 0.294 0.318
0.318 0.318 0.874
0.682 0.682 0.126
0.706 0.706 0.682
0.969 0.969 0.226
0.031 0.031 0.774
0.691 0.309 0.000
0.309 0.691 0.000
0.712 0.288 0.500
0.288 0.712 0.500
```

- total energy (eV per atom) = -4.79
- spin magnetization (μB/cell) = 0.000
- DFT formation energy (kJ/mol of formula units) = -95